No. 1
Rb2SI6Cl: relaxed, PBE.

```
Rb2SI6Cl
1.0
8.129 0.000 0.000
0.000 8.129 0.000
4.065 4.065 6.224
I S Rb Cl
6 1 2 1
Direct
0.278 0.278 0.443 I
0.722 0.722 0.557 I
0.742 0.258 0.000 I
0.258 0.258 0.000 I
0.258 0.742 0.000 I
0.742 0.742 0.000 I
0.500 0.500 0.000 S
0.250 0.750 0.500 Rb
0.750 0.250 0.500 Rb
0.000 0.000 0.000 Cl
```

formation energy (no corrections)	-498.4	meV/atom
symmetry	I4/mmm (139)
Fermi-level density of states	5.547	states/eV/f.u.
size of the total moment	0.000	μB/atom

---

No. 2
Ba7Na2Rh2: relaxed, PBE.

```
Ba7Na2Rh2
1.0
4.192 0.000 0.765
1.315 10.533 4.662
0.050 -0.043 11.594
Rh Ba Na
2 7 2
Direct
0.321 0.261 0.096 Rh
0.679 0.904 0.739 Rh
0.687 0.396 0.230 Ba
0.148 0.759 0.946 Ba
0.850 0.411 0.888 Ba
0.852 0.054 0.241 Ba
0.150 0.112 0.589 Ba
0.500 0.086 0.914 Ba
0.313 0.770 0.604 Ba
0.500 0.428 0.572 Na
0.000 0.672 0.328 Na
```

calculated formation energy	-88	meV per atom
symmetry	Imm2 (44)
Fermi-level density of states	8.421	states/eV/f.u.
size of the total moment	0.000	μB/atom